# 1
First-principles (PBE) data for a relaxed structure of Nb3BiBr, as listed in Alexandria via LeMat-Bulk.

Cell: 4.815 4.815 4.815 Å, 90.00 90.00 90.00°
Positions (direct):
Nb1 0.000 0.500 0.000
Nb2 0.500 0.000 0.000
Bi1 0.500 0.500 0.500
Nb3 0.000 0.000 0.500
Br1 0.000 0.000 0.000

**Final energy**: -6.1600 eV per atom
**SG**: Pm-3m
**Total magnetic moment**: 0.000 μB per atom
**Formation energy from raw total energies**: 5.0 eV/f.u.
**E above lowest polymorph**: 0 meV per atom



# 2
First-principles (PBE) data for a relaxed structure of SrRhPb2, as listed in Alexandria via LeMat-Bulk.

Cell: 3.598 3.596 7.863 Å, 90.00 90.00 90.00°
Positions (direct):
Pb1 0.000 0.000 0.054
Pb2 0.000 0.000 0.446
Sr1 0.500 0.500 0.750
Rh1 0.500 0.500 0.250

**Final energy**: -4.3101 eV per atom
**Energy relative to the elements**: -0.198 eV/atom
**SG**: P4/mmm
**Total magnetic moment**: 0.000 μB per atom



# 3
First-principles (PBE) data for a relaxed structure of CrIr3Rh4, as listed in Alexandria via LeMat-Bulk.

Cell: 2.767 3.946 17.556 Å, 141.88 94.52 90.00°
Positions (direct):
Rh1 0.344 0.411 0.689
Rh2 0.096 0.671 0.191
Cr1 0.500 0.000 0.000
Rh3 0.656 0.589 0.311
Ir1 0.781 0.464 0.561
Rh4 0.904 0.329 0.809
Ir2 0.219 0.536 0.439
Ir3 0.000 0.500 0.000

**Final energy**: -8.0034 eV per atom
**Energy relative to the elements**: 0.198 eV/atom
**SG**: Immm
**Total magnetic moment**: 0.051 μB per atom
**E above lowest polymorph**: 52 meV per atom



# 4
First-principles (PBE) data for a relaxed structure of KRbSc2I8, as listed in Alexandria via LeMat-Bulk.

Cell: 8.050 8.050 11.897 Å, 70.22 70.22 60.00°
Positions (direct):
Sc1 0.755 0.755 0.734
I1 0.927 0.570 0.190
I2 0.570 0.313 0.190
Rb1 0.500 0.500 0.500
I3 0.073 0.430 0.810
I4 0.162 0.162 0.513
I5 0.313 0.927 0.190
I6 0.687 0.073 0.810
K1 0.000 0.000 0.000
I7 0.430 0.687 0.810
Sc2 0.245 0.245 0.266
I8 0.838 0.838 0.487

**Final energy**: -3.5236 eV per atom
**SG**: R-3
**Total magnetic moment**: 0.000 μB per atom
**Formation energy from raw total energies**: -15.2 eV/f.u.



# 5
First-principles (PBE) data for a relaxed structure of YBiP3, as listed in Alexandria via LeMat-Bulk.

Cell: 5.223 5.223 5.223 Å, 90.00 90.00 90.00°
Positions (direct):
Bi1 0.500 0.500 0.500
P1 0.500 0.000 0.000
P2 0.000 0.500 0.000
P3 0.000 0.000 0.500
Y1 0.000 0.000 0.000

**Final energy**: -4.7201 eV per atom
**Energy relative to the elements**: 0.595 eV/atom
**SG**: Pm-3m
**Total magnetic moment**: 0.000 μB per atom
**E above lowest polymorph**: 0 meV per atom